(1)
DFT (meta-GGA SCAN) results for a crystal of KZrH2Pt relaxed with PBEsol.

a = 4.231 Å, b = 4.231 Å, c = 5.033 Å
α = 90.00°, β = 90.00°, γ = 90.00°
Element x y z (fractional)
K 0.000 0.000 0.000
Zr 0.500 0.500 0.500
H 0.000 0.500 0.500
H 0.500 0.000 0.500
Pt 0.500 0.500 0.000

Properties
Its space group is P4/mmm. For the uncorrected energy, the calculation gives -23.31 eV/atom. As for the crystal system: tetragonal. The calculation puts the density at 6035 kg/m³. The calculation puts the magnetization at 0.0000 μB per atom.

=====

(2)
DFT (meta-GGA SCAN) results for a crystal of K2ReH relaxed with PBEsol.

a = 8.423 Å, b = 8.423 Å, c = 8.423 Å
α = 92.40°, β = 92.40°, γ = 156.39°
Element x y z (fractional)
K 0.375 0.062 0.187
K 0.812 0.625 0.687
K 0.875 0.188 0.813
K 0.938 0.125 0.313
Re 0.250 0.750 0.500
Re 0.500 0.500 0.000
H 0.000 0.000 0.000
H 0.750 0.250 0.500

Properties
Its space group is I-42d. For the uncorrected energy, the calculation gives -21.65 eV/atom. As for the crystal system: tetragonal. The calculation puts the density at 3763 kg/m³. The calculation puts the magnetization at 0.5541 μB per atom.

=====

(3)
DFT (meta-GGA SCAN) results for a crystal of K3HRh relaxed with PBEsol.

a = 5.163 Å, b = 5.163 Å, c = 5.163 Å
α = 90.00°, β = 90.00°, γ = 90.00°
Element x y z (fractional)
K 0.000 0.000 0.500
K 0.000 0.500 0.000
K 0.500 0.000 0.000
H 0.000 0.000 0.000
Rh 0.500 0.500 0.500

Properties
Its energy above the most stable polymorph in this dataset is 0.0 meV per atom. Its space group is Pm-3m. As for the crystal system: cubic. The calculation puts the density at 2669 kg/m³. The calculation puts the magnetization at 0.2000 μB per atom.

=====

(4)
DFT (meta-GGA SCAN) results for a crystal of KH3Rh relaxed with PBEsol.

a = 5.476 Å, b = 5.476 Å, c = 5.196 Å
α = 90.00°, β = 90.00°, γ = 120.00°
Element x y z (fractional)
K 0.333 0.667 0.250
K 0.667 0.333 0.750
H 0.126 0.251 0.750
H 0.126 0.874 0.750
H 0.251 0.126 0.250
H 0.749 0.874 0.750
H 0.874 0.126 0.250
H 0.874 0.749 0.250
Rh 0.000 0.000 0.000
Rh 0.000 0.000 0.500

Properties
Its space group is P6_3/mmc. For the uncorrected energy, the calculation gives -10.79 eV/atom. As for the crystal system: hexagonal. The calculation puts the density at 3569 kg/m³. The calculation puts the magnetization at 0.0000 μB per atom.